1.
Below is an optimized crystal structure of Ac2CdCu3Sn4, with properties calculated at the GGA-PBE level.

Final energy ... -41.70 eV/f.u.
Calculated formation energy ... -0.427 eV per atom

Unit cell a=4.6463 b=4.6463 c=11.1897 alpha=90.00 beta=90.00 gamma=90.00
Last column: nearest neighbours and their distance in Å.
Space group P-4m2 (No. 115)
Symmetry-distinct sites (fractional):
Ac 0.0000 0.5000 0.2483 (multiplicity 2)  8 Sn 3.51-3.62, 6 Cu 3.56-3.65, 2 Cd 3.65
Cd 0.0000 0.0000 0.5000 (multiplicity 1)  4 Sn 2.82
Cu 0.0000 0.5000 0.8737 (multiplicity 2)  5 Sn 2.59-2.72
Cu 0.5000 0.5000 0.5000 (multiplicity 1)  4 Sn 2.82
Sn 0.0000 0.0000 0.0000 (multiplicity 1)  4 Cu 2.72
Sn 0.0000 0.5000 0.6423 (multiplicity 2)  3 Cu 2.59-2.82, 2 Cd 2.82
Sn 0.5000 0.5000 0.0000 (multiplicity 1)  4 Cu 2.72

***

2.
Below is an optimized crystal structure of Tc2Ni, with properties calculated at the GGA-PBE level.

Energy above the lowest structure with this stoichiometry ... 11 kJ/mol of formula units
Final energy ... -26.61 eV/f.u.
Calculated formation energy ... -0.033 eV per atom

Unit cell a=2.6917 b=13.9838 c=4.2677 alpha=90.00 beta=90.00 gamma=90.00
Last column: nearest neighbours and their distance in Å.
Space group Cmcm (No. 63)
Symmetry-distinct sites (fractional):
Tc 0.0000 0.0535 0.2500 (multiplicity 4)  6 Tc 2.61-2.70, 6 Ni 2.65-2.66
Tc 0.0000 0.2793 0.7500 (multiplicity 4)  4 Ni 2.63-2.71, 8 Tc 2.65-2.70
Ni 0.0000 0.3891 0.2500 (multiplicity 4)  10 Tc 2.63-2.71, 2 Ni 2.69

***

3.
Below is an optimized crystal structure of CoCuP2, with properties calculated at the GGA-PBE level.

Final energy ... -21.10 eV/f.u.
Calculated formation energy ... 0.232 eV per atom

Unit cell a=2.6803 b=2.6803 c=28.5445 alpha=90.00 beta=90.00 gamma=120.00
Last column: nearest neighbours and their distance in Å.
Space group R3m (No. 160, hexagonal axes)
Symmetry-distinct sites (fractional):
Co 0.0000 0.0000 0.0000 (multiplicity 3)  3 P 2.23
Cu 0.0000 0.0000 0.2599 (multiplicity 3)  3 P 2.44, 3 Co 2.61, 6 Cu 2.68
P 0.0000 0.0000 0.5269 (multiplicity 3)  3 Cu 2.44, 6 P 2.68
P 0.0000 0.0000 0.7229 (multiplicity 3)  3 Co 2.23

***

4.
Below is an optimized crystal structure of Zr3CrRe, with properties calculated at the GGA-PBE level.

Energy above the lowest structure with this stoichiometry ... 118 kJ/mol of formula units
Final energy ... -41.76 eV/f.u.
Calculated formation energy ... 1.191 eV per atom

Unit cell a=5.0254 b=5.0254 c=5.0254 alpha=90.00 beta=90.00 gamma=90.00
Last column: nearest neighbours and their distance in Å.
Space group Pm-3m (No. 221)
Symmetry-distinct sites (fractional):
Zr 0.0000 0.0000 0.5000 (multiplicity 3)  2 Re 2.51
Cr 0.5000 0.5000 0.5000 (multiplicity 1)  12 Zr 3.55
Re 0.0000 0.0000 0.0000 (multiplicity 1)  6 Zr 2.51

***

5.
Below is an optimized crystal structure of RePt2AuN, with properties calculated at the GGA-PBE level.

Final energy ... -26.04 eV/f.u.
Raw formation energy ... 2.018 eV/atom

Unit cell a=5.0858 b=5.0858 c=3.6232 alpha=90.00 beta=90.00 gamma=90.00
Last column: nearest neighbours and their distance in Å.
Space group P4/mmm (No. 123)
Symmetry-distinct sites (fractional):
Re 0.0000 0.0000 0.0000 (multiplicity 1)  8 Pt 3.12
Pt 0.0000 0.5000 0.5000 (multiplicity 2)  2 Au 2.54
Au 0.5000 0.5000 0.5000 (multiplicity 1)  2 N 1.81
N 0.5000 0.5000 0.0000 (multiplicity 1)  2 Au 1.81

***

6.
Below is an optimized crystal structure of BaReGe3, with properties calculated at the GGA-PBE level.

Energy above the lowest structure with this stoichiometry ... 0 kJ/mol of formula units
Final energy ... -28.36 eV/f.u.
Calculated formation energy ... -0.027 eV per atom

Unit cell a=4.9501 b=4.9501 c=4.9501 alpha=90.00 beta=90.00 gamma=90.00
Last column: nearest neighbours and their distance in Å.
Space group Pm-3m (No. 221)
Symmetry-distinct sites (fractional):
Ba 0.0000 0.0000 0.0000 (multiplicity 1)  12 Ge 3.50
Re 0.5000 0.5000 0.5000 (multiplicity 1)  6 Ge 2.48
Ge 0.0000 0.5000 0.5000 (multiplicity 3)  2 Re 2.48

***

7.
Below is an optimized crystal structure of Ti4ZnNi3, with properties calculated at the GGA-PBE level.

Final energy ... -52.61 eV/f.u.
Calculated formation energy ... -0.301 eV per atom

Unit cell a=4.2801 b=4.2801 c=21.3721 alpha=90.00 beta=90.00 gamma=120.00
Last column: nearest neighbours and their distance in Å.
Space group R-3m (No. 166, hexagonal axes)
Symmetry-distinct sites (fractional):
Ti 0.0000 0.0000 0.1184 (multiplicity 6)  5 Ni 2.52-2.56, 3 Zn 2.68
Ti 0.0000 0.0000 0.3711 (multiplicity 6)  7 Ni 2.60-2.84, 1 Zn 2.76
Zn 0.0000 0.0000 0.5000 (multiplicity 3)  8 Ti 2.68-2.76, 6 Ni 2.90
Ni 0.0000 0.0000 0.0000 (multiplicity 3)  8 Ti 2.53-2.60
Ni 0.0000 0.0000 0.2381 (multiplicity 6)  7 Ti 2.52-2.76

***

8.
Below is an optimized crystal structure of BeP3, with properties calculated at the GGA-PBE level.

Energy above the lowest structure with this stoichiometry ... 322 kJ/mol of formula units
Final energy ... -17.22 eV/f.u.
Calculated formation energy ... 0.684 eV per atom

Unit cell a=4.1021 b=4.1021 c=6.1687 alpha=90.00 beta=90.00 gamma=90.00
Last column: nearest neighbours and their distance in Å.
Space group I4/mmm (No. 139)
Symmetry-distinct sites (fractional):
Be 0.0000 0.0000 0.0000 (multiplicity 2)  8 P 2.57
P 0.0000 0.0000 0.5000 (multiplicity 2)  8 P 2.57
P 0.0000 0.5000 0.2500 (multiplicity 4)  4 Be 2.57, 4 P 2.57

***

9.
Below is an optimized crystal structure of YCu2Rh2, with properties calculated at the GGA-PBE level.

Energy above the lowest structure with this stoichiometry ... 26 kJ/mol of formula units
Final energy ... -30.21 eV/f.u.
Calculated formation energy ... -0.170 eV per atom

Unit cell a=7.2041 b=7.2041 c=3.0861 alpha=90.00 beta=90.00 gamma=90.00
Last column: nearest neighbours and their distance in Å.
Space group P4/mbm (No. 127)
Symmetry-distinct sites (fractional):
Y 0.0000 0.0000 0.0000 (multiplicity 2)  4 Rh 2.82, 2 Y 3.09, 8 Cu 3.10
Cu 0.1638 0.3362 0.5000 (multiplicity 4)  6 Rh 2.59-2.64
Rh 0.1320 0.6320 0.0000 (multiplicity 4)  6 Cu 2.59-2.64, 1 Rh 2.69, 2 Y 2.82

***

10.
Below is an optimized crystal structure of Tb6Dy3Er2, with properties calculated at the GGA-PBE level.

Energy above the lowest structure with this stoichiometry ... 0 kJ/mol of formula units
Final energy ... -50.53 eV/f.u.
Calculated formation energy ... 0.017 eV per atom

Unit cell a=3.5391 b=3.5391 c=95.1038 alpha=90.00 beta=90.00 gamma=120.00
Last column: nearest neighbours and their distance in Å.
Space group R-3m (No. 166, hexagonal axes)
Symmetry-distinct sites (fractional):
Tb 0.0000 0.0000 0.0911 (multiplicity 6)  3 Er 3.52, 6 Tb 3.54, 3 Dy 3.54
Tb 0.0000 0.0000 0.1819 (multiplicity 6)  3 Er 3.52, 9 Tb 3.54-3.55
Tb 0.0000 0.0000 0.3637 (multiplicity 6)  6 Dy 3.54, 6 Tb 3.54
Dy 0.0000 0.0000 0.0000 (multiplicity 3)  6 Tb 3.54, 6 Dy 3.54
Dy 0.0000 0.0000 0.2726 (multiplicity 6)  6 Tb 3.54, 6 Dy 3.54
Er 0.0000 0.0000 0.4546 (multiplicity 6)  6 Tb 3.52, 6 Er 3.54

***

11.
Below is an optimized crystal structure of K3PaCd2S6, with properties calculated at the GGA-PBE level.

Final energy ... -53.52 eV/f.u.
Raw formation energy ... -1.178 eV/atom

Unit cell a=6.9038 b=11.9947 c=7.7471 alpha=90.00 beta=107.14 gamma=90.00
Last column: nearest neighbours and their distance in Å.
Space group C2/m (No. 12)
Symmetry-distinct sites (fractional):
K 0.0000 0.0000 0.0000 (multiplicity 2)  6 S 3.16-3.23
K 0.0000 0.3282 0.0000 (multiplicity 4)  6 S 3.16-3.21
Pa 0.0000 0.5000 0.5000 (multiplicity 2)  6 S 2.68-2.69
Cd 0.0000 0.1659 0.5000 (multiplicity 4)  6 S 2.78-2.80
S 0.2288 0.3394 0.7026 (multiplicity 8)  1 Pa 2.69, 2 Cd 2.78-2.80
S 0.2479 0.0000 0.7050 (multiplicity 4)  1 Pa 2.68, 2 Cd 2.79

***

12.
Below is an optimized crystal structure of BeVCr2Hg, with properties calculated at the GGA-PBE level.

Final energy ... -26.87 eV/f.u.
Calculated formation energy ... 1.105 eV per atom

Unit cell a=4.3293 b=4.3293 c=4.4620 alpha=90.00 beta=90.00 gamma=90.00
Last column: nearest neighbours and their distance in Å.
Space group P4/mmm (No. 123)
Symmetry-distinct sites (fractional):
Be 0.0000 0.0000 0.0000 (multiplicity 1)  2 V 2.23
V 0.0000 0.0000 0.5000 (multiplicity 1)  4 Cr 2.16, 2 Be 2.23
Cr 0.0000 0.5000 0.5000 (multiplicity 2)  2 V 2.16
Hg 0.5000 0.5000 0.0000 (multiplicity 1)  4 Be 3.06, 8 Cr 3.11

***

Repeat the fourth record exactly.
Below is an optimized crystal structure of Zr3CrRe, with properties calculated at the GGA-PBE level.

Energy above the lowest structure with this stoichiometry ... 118 kJ/mol of formula units
Final energy ... -41.76 eV/f.u.
Calculated formation energy ... 1.191 eV per atom

Unit cell a=5.0254 b=5.0254 c=5.0254 alpha=90.00 beta=90.00 gamma=90.00
Last column: nearest neighbours and their distance in Å.
Space group Pm-3m (No. 221)
Symmetry-distinct sites (fractional):
Zr 0.0000 0.0000 0.5000 (multiplicity 3)  2 Re 2.51
Cr 0.5000 0.5000 0.5000 (multiplicity 1)  12 Zr 3.55
Re 0.0000 0.0000 0.0000 (multiplicity 1)  6 Zr 2.51

***

Q: Among the records above, which one has the highest final energy?
A: BeP3

***

Q: Number 11 is which compound?
A: K3PaCd2S6